Record 1
AcLa3Sm4 | PBE-GGA | relaxed

Calculated values
Symmetry: Pmn2_1, No. 31
Polymorph energy (0 for the lowest one), kJ/mol of formula units: 11
Crystal system: orthorhombic
Total magnetization, μB/f.u.: 0.0
Formation enthalpy at 0 K, eV per atom: 0.042

Cell lengths 12.0183, 7.4911, 6.5051 Å; angles 90.00, 90.00, 90.00 degrees
Positions (direct):
Ac1 0.0000 0.1279 0.0000
Ac2 0.5000 0.8721 0.5000
La1 0.0000 0.8683 0.4941
La2 0.2485 0.1286 0.6629
La3 0.2515 0.8714 0.1629
La4 0.5000 0.1317 0.9941
La5 0.7485 0.8714 0.1629
La6 0.7515 0.1286 0.6629
Sm1 0.0000 0.3814 0.4937
Sm2 0.0000 0.6232 0.9920
Sm3 0.2491 0.6199 0.6663
Sm4 0.2509 0.3801 0.1663
Sm5 0.5000 0.3768 0.4920
Sm6 0.5000 0.6186 0.9937
Sm7 0.7491 0.3801 0.1663
Sm8 0.7509 0.6199 0.6663



Record 2
LiCd2HgGe | PBE-GGA | relaxed

Calculated values
Symmetry: P4/mmm, No. 123
Crystal system: tetragonal
Total magnetization, μB/f.u.: 0.0
Formation enthalpy at 0 K, eV per atom: 0.065

Cell lengths 5.2337, 5.2337, 5.0657 Å; angles 90.00, 90.00, 90.00 degrees
Positions (direct):
Li1 0.0000 0.0000 0.0000
Cd1 0.0000 0.5000 0.5000
Cd2 0.5000 0.0000 0.5000
Hg1 0.5000 0.5000 0.0000
Ge1 0.0000 0.0000 0.5000



Record 3
Pu2TcMoN5 | PBE-GGA | relaxed

Calculated values
Symmetry: Cmc2_1, No. 36
Crystal system: orthorhombic
E_form (uncorrected), meV/atom: -731
Total magnetization, μB/f.u.: 0.2

Cell lengths 6.6323, 6.6323, 10.2242 Å; angles 90.00, 90.00, 152.10 degrees
Positions (direct):
Pu1 0.1027 0.8973 0.5000
Pu2 0.1506 0.8494 0.1211
Pu3 0.8494 0.1506 0.6211
Pu4 0.8973 0.1027 0.0000
Tc1 0.4682 0.5318 0.2723
Tc2 0.5318 0.4682 0.7723
Mo1 0.2050 0.7950 0.8302
Mo2 0.7950 0.2050 0.3302
N1 0.0535 0.9465 0.8923
N2 0.2794 0.7206 0.4693
N3 0.3204 0.6796 0.1823
N4 0.3671 0.6329 0.8101
N5 0.4842 0.5158 0.5923
N6 0.5158 0.4842 0.0923
N7 0.6329 0.3671 0.3101
N8 0.6796 0.3204 0.6823
N9 0.7206 0.2794 0.9693
N10 0.9465 0.0535 0.3923



Record 4
HoTmSiPt | PBE-GGA | relaxed

Calculated values
Symmetry: Amm2, No. 38
Crystal system: orthorhombic
E_form (uncorrected), meV/atom: -1054
Total magnetization, μB/f.u.: 0.0

Cell lengths 4.1584, 5.6590, 5.6590 Å; angles 40.76, 90.00, 90.00 degrees
Positions (direct):
Ho1 0.0000 0.0000 0.0000
Tm1 0.5000 0.7170 0.7170
Si1 0.0000 0.2812 0.2812
Pt1 0.5000 0.4358 0.4358



Result set for volume: 36.60 27.75 11.69 21.74 A^3/atom, one per record in the order listed.
Result set for calculated total energy: -4.679 -1.668 -10.897 -6.182 eV/atom, one per record in the order listed.
Result set for density of states at the Fermi level: 1.800 0.118 1.018 0.729 states/eV/atom, one per record in the order listed.